Material: LiTm2Ga
Method: DFT, PBEsol
State: optimized geometry

Output
The value obtained for the total energy is -16.38 eV for the cell shown. For the energy relative to the elements, the calculation gives -0.319 eV/atom.

abc: 4.9483 4.9483 4.9483
angles: 60.00 60.00 60.00
Closest atoms and distances in Å follow each position.
Fractional coordinates of all 4 atoms:
Li: 0.0000 0.0000 0.0000  8 Tm 3.03
Tm: 0.2500 0.2500 0.2500  4 Li 3.03, 4 Ga 3.03
Tm: 0.7500 0.7500 0.7500  4 Li 3.03, 4 Ga 3.03
Ga: 0.5000 0.5000 0.5000  8 Tm 3.03

Material: Li2PRh
Method: DFT, PBEsol
State: optimized geometry

Output
The value obtained for the total energy is -20.23 eV for the cell shown. For the energy relative to the elements, the calculation gives -0.593 eV/atom.

abc: 4.3418 4.3418 4.4657
angles: 108.59 108.59 40.00
Closest atoms and distances in Å follow each position.
Fractional coordinates of all 4 atoms:
Li: 0.0000 0.0000 0.0000  3 Li 2.30-2.52, 2 P 2.50
Li: 0.2345 0.2345 0.8239  3 Li 2.30-2.52, 2 P 2.55
P: 0.4998 0.4998 0.4511  3 Rh 2.28-2.40, 4 Li 2.50-2.55
Rh: 0.7762 0.7762 0.3713  3 P 2.28-2.40

Material: BaYPbN2
Method: DFT, PBEsol
State: optimized geometry

Output
The value obtained for the total energy is -28.20 eV for the cell shown. The formation energy from raw total energies is 0.364 eV/atom.

abc: 4.6576 4.6576 5.7033
angles: 90.00 90.00 90.00
Closest atoms and distances in Å follow each position.
Fractional coordinates of all 5 atoms:
Ba: 0.0000 0.0000 0.0000  4 Pb 3.29, 8 N 3.68
Y: 0.5000 0.5000 0.5000  4 N 2.33
Pb: 0.5000 0.5000 0.0000  2 Y 2.85
N: 0.0000 0.5000 0.5000  2 Y 2.33
N: 0.5000 0.0000 0.5000  2 Y 2.33

Material: Ba2ZrAu
Method: DFT, PBEsol
State: optimized geometry

Output
The value obtained for the total energy is -16.66 eV for the cell shown. The energy relative to the lowest polymorph listed for this composition comes out at 0.000 eV/atom. For the energy relative to the elements, the calculation gives 0.162 eV/atom.

abc: 3.7088 3.7088 9.3960
angles: 90.00 90.00 90.00
Closest atoms and distances in Å follow each position.
Fractional coordinates of all 4 atoms:
Ba: 0.0000 0.0000 0.2178  4 Au 3.33, 4 Ba 3.71
Ba: 0.0000 0.0000 0.7822  4 Au 3.33, 4 Ba 3.71
Zr: 0.5000 0.5000 0.5000  4 Zr 3.71, 8 Ba 3.73
Au: 0.5000 0.5000 0.0000  8 Ba 3.33, 4 Au 3.71

Material: NbZnCd2Te
Method: DFT, PBEsol
State: optimized geometry

Output
The value obtained for the total energy is -11.34 eV for the cell shown. The formation energy from raw total energies is 1.396 eV/atom.

abc: 5.4453 5.4453 4.9682
angles: 90.00 90.00 90.00
Closest atoms and distances in Å follow each position.
Fractional coordinates of all 5 atoms:
Nb: 0.0000 0.0000 0.0000  8 Cd 3.69, 4 Zn 3.85
Zn: 0.5000 0.5000 0.0000  2 Te 2.48
Cd: 0.0000 0.5000 0.5000  2 Te 2.72
Cd: 0.5000 0.0000 0.5000  2 Te 2.72
Te: 0.5000 0.5000 0.5000  2 Zn 2.48, 4 Cd 2.72

Material: BeCr2Ir
Method: DFT, PBEsol
State: optimized geometry

Output
The value obtained for the total energy is -35.24 eV for the cell shown. For the energy relative to the elements, the calculation gives -0.234 eV/atom.

abc: 4.7594 4.7594 4.7594
angles: 145.40 133.48 59.25
Closest atoms and distances in Å follow each position.
Fractional coordinates of all 4 atoms:
Be: 0.0000 0.0000 0.0000  4 Ir 2.35, 4 Cr 2.48
Cr: 0.2463 0.7463 0.5000  4 Cr 2.35, 2 Be 2.48, 2 Ir 2.53
Cr: 0.7537 0.2537 0.5000  4 Cr 2.35, 2 Be 2.48, 2 Ir 2.53
Ir: 0.5000 0.5000 0.0000  4 Be 2.35, 4 Cr 2.53

Material: MnInPCl2
Method: DFT, PBEsol
State: optimized geometry

Output
The value obtained for the total energy is -23.63 eV for the cell shown. The energy relative to the lowest polymorph listed for this composition comes out at 0.000 eV/atom. The formation energy from raw total energies is -0.215 eV/atom.

abc: 4.8080 4.8080 4.6099
angles: 90.00 90.00 90.00
Closest atoms and distances in Å follow each position.
Fractional coordinates of all 5 atoms:
Mn: 0.0000 0.0000 0.0000  2 P 2.30, 4 Cl 2.40
In: 0.5000 0.5000 0.5000  8 Cl 3.33, 4 P 3.40
P: 0.0000 0.0000 0.5000  2 Mn 2.30
Cl: 0.0000 0.5000 0.0000  2 Mn 2.40
Cl: 0.5000 0.0000 0.0000  2 Mn 2.40

Material: Nb2Ga2Pd
Method: DFT, PBEsol
State: optimized geometry

Output
The value obtained for the total energy is -33.41 eV for the cell shown. For the energy relative to the elements, the calculation gives 0.174 eV/atom.

abc: 7.7440 7.7440 7.7440
angles: 154.65 154.65 36.16
Closest atoms and distances in Å follow each position.
Fractional coordinates of all 5 atoms:
Nb: 0.1004 0.1004 0.0000  4 Ga 2.78, 4 Pd 2.82, 1 Nb 2.96
Nb: 0.8996 0.8996 0.0000  4 Ga 2.78, 4 Pd 2.82, 1 Nb 2.96
Ga: 0.2500 0.7500 0.5000  4 Ga 2.40
Ga: 0.7500 0.2500 0.5000  4 Ga 2.40
Pd: 0.5000 0.5000 0.0000  8 Nb 2.82